Entry 1:
First-principles (GGA-PBE) data for YThPt10 after structural relaxation, as listed in Alexandria via LeMat-Bulk.

Results
**Volume**: 223.7 Å³ per cell
**Energy of formation from the pure elements**: -0.75 eV/atom

a = 4.4628 Å, b = 5.3940 Å, c = 9.2931 Å
α = 90.00°, β = 90.00°, γ = 90.00°
Space group Pmmm (No. 47)
One atom of each set of equivalent atoms:
Y1 0.0000 0.0000 0.0000
Th1 0.0000 0.5000 0.5000
Pt1 0.0000 0.0000 0.3314
Pt2 0.0000 0.5000 0.1659
Pt3 0.5000 0.0000 0.5000
Pt4 0.5000 0.2512 0.2506
Pt5 0.5000 0.5000 0.0000



Entry 2:
First-principles (GGA-PBE) data for LaPm7Er2 after structural relaxation, as listed in Alexandria via LeMat-Bulk.

Results
**Volume**: 799.5 Å³ per cell
**Energy of formation from the pure elements**: 0.63 eV/atom

a = 8.9275 Å, b = 15.3185 Å, c = 5.8461 Å
α = 90.00°, β = 90.00°, γ = 90.00°
Space group Cmmm (No. 65)
One atom of each set of equivalent atoms:
La1 0.0000 0.0000 0.0000
Pm1 0.0000 0.3428 0.0000
Pm2 0.0000 0.5000 0.5000
Pm3 0.1893 0.1114 0.5000
Er1 0.0000 0.2829 0.5000



Entry 3:
First-principles (GGA-PBE) data for InTc2As after structural relaxation, as listed in Alexandria via LeMat-Bulk.

Results
**Volume**: 134.8 Å³ per cell
**Energy of formation from the pure elements**: 0.47 eV/atom

a = 5.9203 Å, b = 8.4767 Å, c = 2.9945 Å
α = 90.00°, β = 116.23°, γ = 90.00°
Space group C2/m (No. 12)
One atom of each set of equivalent atoms:
In1 0.0000 0.0000 0.0000
Tc1 0.2500 0.2500 0.5000
As1 0.0000 0.5000 0.0000



Entry 4:
First-principles (GGA-PBE) data for RbBa4Cd5 after structural relaxation, as listed in Alexandria via LeMat-Bulk.

Results
**Volume**: 398.4 Å³ per cell
**Energy of formation from the pure elements**: -0.24 eV/atom

a = 4.2472 Å, b = 4.2472 Å, c = 22.0839 Å
α = 90.00°, β = 90.00°, γ = 90.00°
Space group P4/mmm (No. 123)
One atom of each set of equivalent atoms:
Rb1 0.0000 0.0000 0.0000
Ba1 0.0000 0.0000 0.2079
Ba2 0.0000 0.0000 0.4034
Cd1 0.5000 0.5000 0.1152
Cd2 0.5000 0.5000 0.3044
Cd3 0.5000 0.5000 0.5000



Entry 5:
First-principles (GGA-PBE) data for Mn2AlPbAu after structural relaxation, as listed in Alexandria via LeMat-Bulk.

Results
**Volume**: 142.8 Å³ per cell
**Energy of formation from the pure elements**: 1.13 eV/atom

a = 5.1676 Å, b = 5.1676 Å, c = 5.3471 Å
α = 90.00°, β = 90.00°, γ = 90.00°
Space group P4/mmm (No. 123)
One atom of each set of equivalent atoms:
Mn1 0.0000 0.5000 0.0000
Al1 0.0000 0.0000 0.5000
Pb1 0.5000 0.5000 0.0000
Au1 0.5000 0.5000 0.5000



Entry 6:
First-principles (GGA-PBE) data for Pm6InAg after structural relaxation, as listed in Alexandria via LeMat-Bulk.

Results
**Volume**: 496.1 Å³ per cell
**Energy of formation from the pure elements**: -0.17 eV/atom

a = 5.1959 Å, b = 5.1959 Å, c = 18.3773 Å
α = 90.00°, β = 90.00°, γ = 90.00°
Space group I4/mmm (No. 139)
One atom of each set of equivalent atoms:
Pm1 0.0000 0.0000 0.2493
Pm2 0.0000 0.5000 0.1103
In1 0.0000 0.0000 0.0000
Ag1 0.0000 0.0000 0.5000



Entry 7:
First-principles (GGA-PBE) data for Pb3ClF after structural relaxation, as listed in Alexandria via LeMat-Bulk.

Results
**Volume**: 145.0 Å³ per cell
**Raw formation energy**: -0.43 eV per atom

a = 5.2532 Å, b = 5.2532 Å, c = 5.2532 Å
α = 90.00°, β = 90.00°, γ = 90.00°
Space group Pm-3m (No. 221)
One atom of each set of equivalent atoms:
Pb1 0.0000 0.0000 0.5000
Cl1 0.5000 0.5000 0.5000
F1 0.0000 0.0000 0.0000



Entry 8:
First-principles (GGA-PBE) data for TcPIr after structural relaxation, as listed in Alexandria via LeMat-Bulk.

Results
**Volume**: 44.7 Å³ per cell
**Energy of formation from the pure elements**: -0.18 eV/atom

a = 2.8094 Å, b = 2.8440 Å, c = 5.5911 Å
α = 90.00°, β = 90.00°, γ = 90.00°
Space group Pmm2 (No. 25)
One atom of each set of equivalent atoms:
Tc1 0.0000 0.0000 0.0000
P1 0.0000 0.5000 0.3316
Ir1 0.5000 0.5000 0.6700



Entry 9:
First-principles (GGA-PBE) data for AcMgGa2Au5 after structural relaxation, as listed in Alexandria via LeMat-Bulk.

Results
**Volume**: 198.4 Å³ per cell
**Energy of formation from the pure elements**: -0.41 eV/atom

a = 5.0673 Å, b = 5.0673 Å, c = 7.7255 Å
α = 90.00°, β = 90.00°, γ = 90.00°
Space group P4/mmm (No. 123)
One atom of each set of equivalent atoms:
Ac1 0.0000 0.0000 0.0000
Mg1 0.0000 0.0000 0.5000
Ga1 0.5000 0.5000 0.3358
Au1 0.0000 0.5000 0.2859
Au2 0.5000 0.5000 0.0000



Entry 10:
First-principles (GGA-PBE) data for SrGdZnGa after structural relaxation, as listed in Alexandria via LeMat-Bulk.

Results
**Volume**: 419.9 Å³ per cell
**Energy of formation from the pure elements**: -0.33 eV/atom

a = 7.4883 Å, b = 7.4883 Å, c = 7.4883 Å
α = 90.00°, β = 90.00°, γ = 90.00°
Space group F-43m (No. 216)
One atom of each set of equivalent atoms:
Sr1 0.0000 0.0000 0.0000
Gd1 0.0000 0.0000 0.5000
Zn1 0.2500 0.2500 0.2500
Ga1 0.2500 0.2500 0.7500



Entry 11:
First-principles (GGA-PBE) data for NaAc2Ru after structural relaxation, as listed in Alexandria via LeMat-Bulk.

Results
**Volume**: 464.8 Å³ per cell
**Energy of formation from the pure elements**: -0.10 eV/atom

a = 4.2778 Å, b = 4.2778 Å, c = 29.3277 Å
α = 90.00°, β = 90.00°, γ = 120.00°
Space group R3m (No. 160, hexagonal axes)
One atom of each set of equivalent atoms:
Na1 0.0000 0.0000 0.0000
Ac1 0.0000 0.0000 0.5530
Ac2 0.0000 0.0000 0.7785
Ru1 0.0000 0.0000 0.1654



Entry 12:
First-principles (GGA-PBE) data for PrZnGa after structural relaxation, as listed in Alexandria via LeMat-Bulk.

Results
**Volume**: 287.1 Å³ per cell
**Energy of formation from the pure elements**: -0.40 eV/atom

a = 6.5969 Å, b = 6.5969 Å, c = 6.5969 Å
α = 90.00°, β = 90.00°, γ = 90.00°
Space group F-43m (No. 216)
One atom of each set of equivalent atoms:
Pr1 0.0000 0.0000 0.0000
Zn1 0.2500 0.2500 0.7500
Ga1 0.0000 0.0000 0.5000



Entry 13:
First-principles (GGA-PBE) data for BaMnSb4 after structural relaxation, as listed in Alexandria via LeMat-Bulk.

Results
**Volume**: 740.0 Å³ per cell
**Raw formation energy**: 0.08 eV per atom

a = 9.0451 Å, b = 9.0451 Å, c = 9.0451 Å
α = 90.00°, β = 90.00°, γ = 90.00°
Space group F-43m (No. 216)
One atom of each set of equivalent atoms:
Ba1 0.0000 0.0000 0.0000
Mn1 0.2500 0.2500 0.7500
Sb1 0.1228 0.1228 0.3772



Entry 14:
First-principles (GGA-PBE) data for AcCd2Cu9 after structural relaxation, as listed in Alexandria via LeMat-Bulk.

Results
**Volume**: 377.3 Å³ per cell
**Energy of formation from the pure elements**: -0.09 eV/atom

a = 5.2243 Å, b = 5.2243 Å, c = 15.9617 Å
α = 90.00°, β = 90.00°, γ = 120.00°
Space group P6_3/mmc (No. 194)
One atom of each set of equivalent atoms:
Ac1 0.3333 0.6667 0.2500
Cd1 0.3333 0.6667 0.0312
Cu1 0.0000 0.0000 0.0000
Cu2 0.0000 0.0000 0.2500
Cu3 0.1685 0.3370 0.6221
Cu4 0.3333 0.6667 0.7500



Entry 15:
First-principles (GGA-PBE) data for LiMgH3 after structural relaxation, as listed in Alexandria via LeMat-Bulk.

Results
**Volume**: 277.9 Å³ per cell
**Energy**: -89.86 eV/cell

a = 4.9245 Å, b = 4.9245 Å, c = 13.2305 Å
α = 90.00°, β = 90.00°, γ = 120.00°
Space group R3c (No. 161, hexagonal axes)
One atom of each set of equivalent atoms:
Li1 0.0000 0.0000 0.0000
Mg1 0.0000 0.0000 0.2097
H1 0.0359 0.3640 0.2745



Entry 16:
First-principles (GGA-PBE) data for Hf2Sc13 after structural relaxation, as listed in Alexandria via LeMat-Bulk.

Results
**Volume**: 357.3 Å³ per cell
**Energy of formation from the pure elements**: 0.07 eV/atom

a = 5.9839 Å, b = 8.1514 Å, c = 8.1810 Å
α = 65.51°, β = 81.48°, γ = 81.26°
Space group P-1 (No. 2)
One atom of each set of equivalent atoms:
Hf1 0.1086 0.4486 0.2499
Sc1 0.0000 0.0000 0.5000
Sc2 0.0841 0.7843 0.9252
Sc3 0.1878 0.2099 0.6928
Sc4 0.2841 0.6211 0.4896
Sc5 0.3231 0.9419 0.1471
Sc6 0.3892 0.4063 0.9034
Sc7 0.4832 0.1725 0.3326



Entry 17:
First-principles (GGA-PBE) data for ErTlBi after structural relaxation, as listed in Alexandria via LeMat-Bulk.

Results
**Volume**: 88.9 Å³ per cell
**Energy of formation from the pure elements**: -0.17 eV/atom

a = 5.2650 Å, b = 5.2650 Å, c = 3.7051 Å
α = 90.00°, β = 90.00°, γ = 120.00°
Space group P3m1 (No. 156)
One atom of each set of equivalent atoms:
Er1 0.0000 0.0000 0.0000
Tl1 0.6667 0.3333 0.3008
Bi1 0.3333 0.6667 0.6172



Entry 18:
First-principles (GGA-PBE) data for Tc2C after structural relaxation, as listed in Alexandria via LeMat-Bulk.

Results
**Volume**: 147.3 Å³ per cell
**Energy of formation from the pure elements**: 0.75 eV/atom

a = 4.8906 Å, b = 10.3320 Å, c = 2.9145 Å
α = 90.00°, β = 90.00°, γ = 90.00°
Space group Cmmm (No. 65)
One atom of each set of equivalent atoms:
Tc1 0.0000 0.0000 0.0000
Tc2 0.0000 0.2107 0.5000
Tc3 0.0000 0.5000 0.5000
C1 0.0000 0.3508 0.0000



Entry 19:
First-principles (GGA-PBE) data for NaSr4Mg3 after structural relaxation, as listed in Alexandria via LeMat-Bulk.

Results
**Volume**: 307.5 Å³ per cell
**Energy of formation from the pure elements**: -0.03 eV/atom

a = 4.2162 Å, b = 6.0405 Å, c = 12.0723 Å
α = 90.00°, β = 90.00°, γ = 90.00°
Space group Pmmm (No. 47)
One atom of each set of equivalent atoms:
Na1 0.0000 0.0000 0.0000
Sr1 0.5000 0.0000 0.2614
Sr2 0.5000 0.5000 0.0000
Sr3 0.5000 0.5000 0.5000
Mg1 0.0000 0.0000 0.5000
Mg2 0.0000 0.5000 0.2526



Entry 20:
First-principles (GGA-PBE) data for CdNiMo2 after structural relaxation, as listed in Alexandria via LeMat-Bulk.

Results
**Volume**: 61.9 Å³ per cell
**Energy of formation from the pure elements**: 0.32 eV/atom

a = 3.4672 Å, b = 3.9504 Å, c = 4.5222 Å
α = 90.00°, β = 90.00°, γ = 90.00°
Space group Pmmm (No. 47)
One atom of each set of equivalent atoms:
Cd1 0.0000 0.0000 0.0000
Ni1 0.5000 0.5000 0.0000
Mo1 0.0000 0.5000 0.5000
Mo2 0.5000 0.0000 0.5000



Entry 21:
First-principles (GGA-PBE) data for PuZn11Ni after structural relaxation, as listed in Alexandria via LeMat-Bulk.

Results
**Volume**: 404.4 Å³ per cell
**Energy of formation from the pure elements**: -0.14 eV/atom

a = 4.9929 Å, b = 12.7067 Å, c = 6.8229 Å
α = 90.00°, β = 110.90°, γ = 90.00°
Space group C2/m (No. 12)
One atom of each set of equivalent atoms:
Pu1 0.0000 0.0000 0.0000
Zn1 0.0000 0.0000 0.5000
Zn2 0.1031 0.3940 0.2204
Zn3 0.1914 0.1714 0.3589
Zn4 0.2500 0.2500 0.0000
Ni1 0.0000 0.5000 0.5000



Entry 22:
First-principles (GGA-PBE) data for PmTm3Sn3 after structural relaxation, as listed in Alexandria via LeMat-Bulk.

Results
**Volume**: 385.7 Å³ per cell
**Energy of formation from the pure elements**: -0.53 eV/atom

a = 9.0962 Å, b = 9.0962 Å, c = 5.3832 Å
α = 90.00°, β = 90.00°, γ = 120.00°
Space group P6_3/m (No. 176)
One atom of each set of equivalent atoms:
Pm1 0.3333 0.6667 0.2500
Tm1 0.0051 0.7684 0.2500
Sn1 0.0737 0.6252 0.7500



Entry 23:
First-principles (GGA-PBE) data for TaPtCl3 after structural relaxation, as listed in Alexandria via LeMat-Bulk.

Results
**Volume**: 114.7 Å³ per cell
**Raw formation energy**: 0.87 eV per atom

a = 4.8589 Å, b = 4.8589 Å, c = 4.8589 Å
α = 90.00°, β = 90.00°, γ = 90.00°
Space group Pm-3m (No. 221)
One atom of each set of equivalent atoms:
Ta1 0.0000 0.0000 0.0000
Pt1 0.5000 0.5000 0.5000
Cl1 0.0000 0.5000 0.5000



Entry 24:
First-principles (GGA-PBE) data for Sr3Pa3PbN8 after structural relaxation, as listed in Alexandria via LeMat-Bulk.

Results
**Volume**: 802.4 Å³ per cell
**Raw formation energy**: -0.98 eV per atom

a = 7.1864 Å, b = 7.1864 Å, c = 17.9397 Å
α = 90.00°, β = 90.00°, γ = 120.00°
Space group R-3m (No. 166, hexagonal axes)
One atom of each set of equivalent atoms:
Sr1 0.0000 0.5000 0.0000
Pa1 0.0000 0.5000 0.5000
Pb1 0.0000 0.0000 0.5000
N1 0.0000 0.0000 0.2366
N2 0.0265 0.5132 0.7694